Ni2Te3Pb, optimized geometry, DFT GGA-PBE; spin magnetization = 0.0000 μB/atom; total DFT energy (no corrections) = -0.31132 Ry per atom
1.0
1.9037 -6.9005 0.0000
1.9037 6.9005 0.0000
0.0000 0.0000 10.9169
Ni Te Pb
4 6 2
Direct
0.0000 0.0000 0.0000 Ni
0.0000 0.0000 0.5000 Ni
0.3738 0.6262 0.7500 Ni
0.6262 0.3738 0.2500 Ni
0.0021 0.9979 0.2500 Te
0.3752 0.6248 0.5181 Te
0.3752 0.6248 0.9819 Te
0.6248 0.3752 0.0181 Te
0.6248 0.3752 0.4819 Te
0.9979 0.0021 0.7500 Te
0.2676 0.7324 0.2500 Pb
0.7324 0.2676 0.7500 Pb

TaCoPd, optimized geometry, DFT GGA-PBE; spin magnetization = 0.0005 μB/atom; E_form = 0.9 eV per formula unit; energy above the lowest structure with this stoichiometry = 117.7 meV per atom
1.0
5.8974 0.0000 0.0000
0.0000 5.8974 0.0000
0.0000 0.0000 5.8974
Ta Co Pd
4 4 4
Direct
0.0000 0.0000 0.0000 Ta
0.0000 0.5000 0.5000 Ta
0.5000 0.0000 0.5000 Ta
0.5000 0.5000 0.0000 Ta
0.2500 0.2500 0.7500 Co
0.2500 0.7500 0.2500 Co
0.7500 0.2500 0.2500 Co
0.7500 0.7500 0.7500 Co
0.2500 0.2500 0.2500 Pd
0.2500 0.7500 0.7500 Pd
0.7500 0.2500 0.7500 Pd
0.7500 0.7500 0.2500 Pd

CoAu2, optimized geometry, DFT GGA-PBE; spin magnetization = 0.6600 μB/atom; E_form = 2.0 eV per formula unit
1.0
0.0000 3.7803 3.7803
3.7803 0.0000 3.7803
3.7803 3.7803 0.0000
Co Au
2 4
Direct
0.1250 0.1250 0.1250 Co
0.8750 0.8750 0.8750 Co
0.0000 0.5000 0.5000 Au
0.5000 0.0000 0.5000 Au
0.5000 0.5000 0.0000 Au
0.5000 0.5000 0.5000 Au

Zr4Nb3, optimized geometry, DFT GGA-PBE; spin magnetization = 0.0021 μB/atom; E_form = 0.6 eV per formula unit; energy above the lowest structure with this stoichiometry = 0.0 meV per atom
1.0
7.5415 0.0000 0.0000
0.0000 4.8587 0.0000
-3.0434 0.0000 7.9573
Zr Nb
8 6
Direct
0.0784 0.2500 0.0938 Zr
0.0825 0.7500 0.6233 Zr
0.1873 0.7500 0.3106 Zr
0.3660 0.2500 0.5378 Zr
0.6340 0.7500 0.4622 Zr
0.8127 0.2500 0.6894 Zr
0.9175 0.2500 0.3767 Zr
0.9216 0.7500 0.9062 Zr
0.2506 0.2500 0.8378 Nb
0.3643 0.7500 0.0366 Nb
0.4995 0.7500 0.7693 Nb
0.5005 0.2500 0.2307 Nb
0.6357 0.2500 0.9634 Nb
0.7494 0.7500 0.1622 Nb

Na2CuH6Os, optimized geometry, DFT GGA-PBE; spin magnetization = 0.0756 μB/atom; total DFT energy (no corrections) = -0.27656 Ry per atom
1.0
0.0000 3.5372 3.5372
3.5372 0.0000 3.5372
3.5372 3.5372 0.0000
Na Cu H Os
2 1 6 1
Direct
0.2500 0.2500 0.2500 Na
0.7500 0.7500 0.7500 Na
0.0000 0.0000 0.0000 Cu
0.2529 0.2529 0.7471 H
0.2529 0.7471 0.2529 H
0.2529 0.7471 0.7471 H
0.7471 0.2529 0.2529 H
0.7471 0.2529 0.7471 H
0.7471 0.7471 0.2529 H
0.5000 0.5000 0.5000 Os

LiCoSiHg, optimized geometry, DFT GGA-PBE; spin magnetization = 0.0005 μB/atom; energy above the lowest structure with this stoichiometry = 0.0 meV per atom
1.0
6.0486 0.0000 0.0000
0.0000 6.0486 0.0000
0.0000 0.0000 6.0486
Li Co Si Hg
4 4 4 4
Direct
0.0000 0.0000 0.0000 Li
0.0000 0.5000 0.5000 Li
0.5000 0.0000 0.5000 Li
0.5000 0.5000 0.0000 Li
0.0000 0.0000 0.5000 Co
0.0000 0.5000 0.0000 Co
0.5000 0.0000 0.0000 Co
0.5000 0.5000 0.5000 Co
0.2500 0.2500 0.2500 Si
0.2500 0.7500 0.7500 Si
0.7500 0.2500 0.7500 Si
0.7500 0.7500 0.2500 Si
0.2500 0.2500 0.7500 Hg
0.2500 0.7500 0.2500 Hg
0.7500 0.2500 0.2500 Hg
0.7500 0.7500 0.7500 Hg